A geometry-optimized Pm3AlI3 structure. Source: Alexandria via LeMat-Bulk, functional PBE.

Cell: 12.533 12.533 12.533 Å, 90.00 90.00 90.00°
Space group I4_132 (No. 214)
One atom of each set of equivalent atoms:
Pm 0.113 0.363 0.125 (multiplicity 24)
Al 0.125 0.125 0.125 (multiplicity 8)
I 0.117 0.133 0.625 (multiplicity 24)

Values from the calculation:
D(E_F) = 25.18 states/eV per cell
Raw total energy = -4.195 eV per atom
Raw formation energy = -649 kJ/mol of formula units